Density functional theory data (PBE) for a relaxed structure of BeGaPt2.

a = 3.9672 Å, b = 3.9672 Å, c = 3.4576 Å
α = 90.00°, β = 90.00°, γ = 90.00°
Last column: nearest neighbours and their distance in Å.
Sites, in units of the cell vectors:
Be 0.0000 0.0000 0.0000  8 Pt 2.63, 4 Ga 2.81
Ga 0.5000 0.5000 0.0000  8 Pt 2.63, 4 Be 2.81
Pt 0.0000 0.5000 0.5000  4 Be 2.63, 4 Ga 2.63, 4 Pt 2.81
Pt 0.5000 0.0000 0.5000  4 Be 2.63, 4 Ga 2.63, 4 Pt 2.81

Output
Calculated volume   54.4 Å³/f.u.
Crystal system   tetragonal
Calculated formation energy   -56 kJ/mol of atoms
Density of states at the Fermi level   1.28 states/eV per cell
Size of the total moment   0.00 μB per atom

Density functional theory data (PBE) for a relaxed structure of BeGaPt2.

a = 2.8081 Å, b = 2.8081 Å, c = 6.7987 Å
α = 90.00°, β = 90.00°, γ = 90.00°
Last column: nearest neighbours and their distance in Å.
Sites, in units of the cell vectors:
Be 0.0000 0.0000 0.0000  8 Pt 2.47
Ga 0.0000 0.0000 0.5000  8 Pt 2.76, 4 Ga 2.81
Pt 0.5000 0.5000 0.2172  4 Be 2.47, 4 Ga 2.76
Pt 0.5000 0.5000 0.7828  4 Be 2.47, 4 Ga 2.76

Output
Calculated volume   53.6 Å³/f.u.
Crystal system   tetragonal
Calculated formation energy   -60 kJ/mol of atoms
Density of states at the Fermi level   1.26 states/eV per cell
Size of the total moment   0.00 μB per atom

Density functional theory data (PBE) for a relaxed structure of Be3GaPt.

a = 4.0975 Å, b = 4.0975 Å, c = 4.0975 Å
α = 90.00°, β = 90.00°, γ = 90.00°
Last column: nearest neighbours and their distance in Å.
Sites, in units of the cell vectors:
Be 0.0000 0.0000 0.5000  2 Ga 2.05
Be 0.0000 0.5000 0.0000  2 Ga 2.05
Be 0.5000 0.0000 0.0000  2 Ga 2.05
Ga 0.0000 0.0000 0.0000  6 Be 2.05
Pt 0.5000 0.5000 0.5000  12 Be 2.90

Output
Calculated volume   68.8 Å³/f.u.
Crystal system   cubic
Calculated formation energy   73 kJ/mol of atoms
Density of states at the Fermi level   1.13 states/eV per cell
Size of the total moment   0.00 μB per atom